Entry 1:
# SrTa2Mn | Alexandria | GGA-PBEsol | relaxed
# DFT formation energy = 70 kJ per mole of atoms
# polymorph energy (0 for the lowest one) = 178 meV per atom
data_SrTa2Mn
_chemical_formula_sum 'Sr2 Ta4 Mn2'
_cell_length_a 2.943
_cell_length_b 5.231
_cell_length_c 10.189
_cell_angle_alpha 90.00
_cell_angle_beta 90.00
_cell_angle_gamma 90.00
_space_group_name_H-M_alt 'I m m m'
_space_group_IT_number 71
_space_group_name_Hall '-I 2 2'
loop_
_atom_site_label
_atom_site_type_symbol
_atom_site_fract_x
_atom_site_fract_y
_atom_site_fract_z
Sr1 Sr 0.000 0.000 0.000
Ta1 Ta 0.000 0.500 0.199
Mn1 Mn 0.000 0.000 0.500

=====

Entry 2:
# SrTaMnW2 | Alexandria | GGA-PBEsol | relaxed
# DFT formation energy = 339 kJ per mole of atoms
data_SrTaMnW2
_chemical_formula_sum 'Sr1 Ta1 Mn1 W2'
_cell_length_a 4.710
_cell_length_b 4.710
_cell_length_c 4.768
_cell_angle_alpha 90.00
_cell_angle_beta 90.00
_cell_angle_gamma 90.00
_space_group_name_H-M_alt 'P 4/m m m'
_space_group_IT_number 123
_space_group_name_Hall '-P 4 2'
loop_
_atom_site_label
_atom_site_type_symbol
_atom_site_fract_x
_atom_site_fract_y
_atom_site_fract_z
Sr1 Sr 0.000 0.000 0.000
Ta1 Ta 0.000 0.000 0.500
Mn1 Mn 0.500 0.500 0.500
W1 W 0.000 0.500 0.000

=====

Entry 3:
# Sr2MnTc | Alexandria | GGA-PBEsol | relaxed
# DFT formation energy = 109 kJ per mole of atoms
data_Sr2MnTc
_chemical_formula_sum 'Sr8 Mn4 Tc4'
_cell_length_a 7.419
_cell_length_b 7.419
_cell_length_c 7.419
_cell_angle_alpha 90.00
_cell_angle_beta 90.00
_cell_angle_gamma 90.00
_space_group_name_H-M_alt 'F m -3 m'
_space_group_IT_number 225
_space_group_name_Hall '-F 4 2 3'
loop_
_atom_site_label
_atom_site_type_symbol
_atom_site_fract_x
_atom_site_fract_y
_atom_site_fract_z
Sr1 Sr 0.250 0.250 0.250
Mn1 Mn 0.000 0.000 0.000
Tc1 Tc 0.000 0.000 0.500

=====

Entry 4:
# SrMn2Te | Alexandria | GGA-PBEsol | relaxed
# uncorrected formation energy = 0.2002 eV per atom
data_SrMn2Te
_chemical_formula_sum 'Sr1 Mn2 Te1'
_cell_length_a 3.941
_cell_length_b 3.941
_cell_length_c 6.408
_cell_angle_alpha 90.00
_cell_angle_beta 90.00
_cell_angle_gamma 90.00
_space_group_name_H-M_alt 'P 4 m m'
_space_group_IT_number 99
loop_
_space_group_symop_operation_xyz
'x,y,z'
'-y,x,z'
'-x,-y,z'
'y,-x,z'
'-x,y,z'
'y,x,z'
'x,-y,z'
'-y,-x,z'
loop_
_atom_site_label
_atom_site_type_symbol
_atom_site_fract_x
_atom_site_fract_y
_atom_site_fract_z
Sr1 Sr 0.000 0.000 0.000
Mn1 Mn 0.000 0.500 0.560
Te1 Te 0.500 0.500 0.262